# Tc2HgIrF

A geometry-optimized Tc2HgIrF structure (PBE-GGA, Alexandria via LeMat-Bulk).

Geometry as POSCAR:
```
Tc2HgIrF
1.0
5.255 0.000 0.000
0.000 5.255 0.000
0.000 0.000 5.049
Tc Hg Ir F
2 1 1 1
direct
0.000 0.500 0.000
0.500 0.000 0.000
0.000 0.000 0.000
0.000 0.000 0.500
0.500 0.500 0.500
```

ΔE_f (raw): 2.24 eV per atom
symmetry: P4/mmm (123)
energy: -4.109 eV/atom


# TiHg2IrF

A geometry-optimized TiHg2IrF structure (PBE-GGA, Alexandria via LeMat-Bulk).

Geometry as POSCAR:
```
TiHg2IrF
1.0
4.859 0.000 0.000
0.000 4.859 0.000
0.000 0.000 4.078
Ti Hg Ir F
1 2 1 1
direct
0.000 0.000 0.000
0.000 0.500 0.500
0.500 0.000 0.500
0.500 0.500 0.000
0.500 0.500 0.500
```

ΔE_f (raw): 0.47 eV per atom
symmetry: P4/mmm (123)
energy: -3.371 eV/atom


# TlHg2IrF8

A geometry-optimized TlHg2IrF8 structure (PBE-GGA, Alexandria via LeMat-Bulk).

Geometry as POSCAR:
```
TlHg2IrF8
1.0
4.621 0.000 0.000
1.728 5.490 0.000
0.013 0.001 7.771
Tl Hg Ir F
1 2 1 8
direct
0.000 0.000 0.000
0.500 0.499 0.247
0.500 0.501 0.753
0.000 0.000 0.500
0.025 0.233 0.687
0.026 0.232 0.312
0.402 0.298 0.000
0.426 0.781 0.500
0.574 0.219 0.500
0.598 0.702 0.000
0.974 0.768 0.688
0.975 0.767 0.313
```

ΔE_f (raw): -1.45 eV per atom
symmetry: P-1 (2)
energy: -3.688 eV/atom


# TlHgIrF6

A geometry-optimized TlHgIrF6 structure (PBE-GGA, Alexandria via LeMat-Bulk).

Geometry as POSCAR:
```
TlHgIrF6
1.0
6.238 0.000 0.000
-3.119 5.402 0.000
0.000 0.000 10.136
Tl Hg Ir F
2 2 2 12
direct
0.000 0.000 0.000
0.000 0.000 0.500
0.333 0.667 0.250
0.667 0.333 0.750
0.333 0.667 0.750
0.667 0.333 0.250
0.056 0.397 0.648
0.056 0.660 0.852
0.340 0.397 0.852
0.340 0.944 0.648
0.397 0.056 0.148
0.397 0.340 0.352
0.603 0.660 0.648
0.603 0.944 0.852
0.660 0.056 0.352
0.660 0.603 0.148
0.944 0.340 0.148
0.944 0.603 0.352
```

ΔE_f (raw): -1.52 eV per atom
symmetry: P-31c (163)
energy: -4.053 eV/atom